# 1
# PBE KNa2RuCl, optimized geometry
data_KNa2RuCl
_cell_length_a 5.6023
_cell_length_b 5.6023
_cell_length_c 4.5275
_cell_angle_alpha 90.00
_cell_angle_beta 90.00
_cell_angle_gamma 90.00
_symmetry_space_group_name_H-M 'P 4/m m m'
_symmetry_Int_Tables_number 123
_symmetry_space_group_name_Hall '-P 4 2'
loop_
_atom_site_label
_atom_site_type_symbol
_atom_site_fract_x
_atom_site_fract_y
_atom_site_fract_z
K1 K 0.0000 0.0000 0.0000
Na1 Na 0.0000 0.5000 0.5000
Ru1 Ru 0.5000 0.5000 0.0000
Cl1 Cl 0.5000 0.5000 0.5000
# E_tot	-13.64	eV per formula unit

***

# 2
# PBE Zn5Cu3Rh3, optimized geometry
data_Zn5Cu3Rh3
_cell_length_a 8.2956
_cell_length_b 8.2956
_cell_length_c 2.7939
_cell_angle_alpha 90.00
_cell_angle_beta 90.00
_cell_angle_gamma 120.00
_symmetry_space_group_name_H-M 'P -6 2 m'
_symmetry_Int_Tables_number 189
_symmetry_space_group_name_Hall 'P -6 -2'
loop_
_atom_site_label
_atom_site_type_symbol
_atom_site_fract_x
_atom_site_fract_y
_atom_site_fract_z
Zn1 Zn 0.0000 0.6635 0.0000
Zn2 Zn 0.3333 0.6667 0.0000
Cu1 Cu 0.0000 0.1651 0.0000
Rh1 Rh 0.0000 0.4140 0.5000
# formation energy from the elements	91	meV per atom

***

Let's list ρ in order: 2.590, 8.242 g/cm³.
Let's list M_tot in order: 1.334, 0.000 Bohr magnetons per cell.